1.
# BaMg2Pd, optimized geometry, DFT GGA-PBE
data_BaMg2Pd
_space_group_name_H-M_alt 'P 1'
_space_group_IT_number 1
_space_group_name_Hall 'P 1'
_cell_length_a 5.2702
_cell_length_b 5.2702
_cell_length_c 5.2702
_cell_angle_alpha 60.00
_cell_angle_beta 60.00
_cell_angle_gamma 60.00
loop_
_atom_site_label
_atom_site_fract_x
_atom_site_fract_y
_atom_site_fract_z
Ba1 0.0000 0.0000 0.0000
Mg1 0.2500 0.2500 0.2500
Mg2 0.7500 0.7500 0.7500
Pd1 0.5000 0.5000 0.5000
# - spin magnetization (μB per formula unit) = 0.00
# - total DFT energy (no corrections) (eV per cell) = -10.52
# - symmetry = Fm-3m (225)

=====

2.
# CdHg2Br2, optimized geometry, DFT GGA-PBE
data_CdHg2Br2
_space_group_name_H-M_alt 'P 1'
_space_group_IT_number 1
_space_group_name_Hall 'P 1'
_cell_length_a 9.9146
_cell_length_b 9.9146
_cell_length_c 3.9001
_cell_angle_alpha 90.00
_cell_angle_beta 90.00
_cell_angle_gamma 90.00
loop_
_atom_site_label
_atom_site_fract_x
_atom_site_fract_y
_atom_site_fract_z
Cd1 0.0000 0.0000 0.0000
Cd2 0.5000 0.5000 0.0000
Hg1 0.0954 0.4046 0.5000
Hg2 0.4046 0.9046 0.5000
Hg3 0.5954 0.0954 0.5000
Hg4 0.9046 0.5954 0.5000
Br1 0.2366 0.2634 0.0000
Br2 0.2634 0.7634 0.0000
Br3 0.7366 0.2366 0.0000
Br4 0.7634 0.7366 0.0000
# - spin magnetization (μB per formula unit) = 0.00
# - raw formation energy (eV per atom) = -0.119
# - total DFT energy (no corrections) (eV per cell) = -10.92
# - polymorph energy (0 for the lowest one) (meV per atom) = 0.0
# - symmetry = P4/mbm (127)

=====

3.
# Co2AsAu, optimized geometry, DFT GGA-PBE
data_Co2AsAu
_space_group_name_H-M_alt 'P 1'
_space_group_IT_number 1
_space_group_name_Hall 'P 1'
_cell_length_a 7.9880
_cell_length_b 7.9880
_cell_length_c 7.9880
_cell_angle_alpha 20.79
_cell_angle_beta 20.79
_cell_angle_gamma 20.79
loop_
_atom_site_label
_atom_site_fract_x
_atom_site_fract_y
_atom_site_fract_z
Co1 0.2405 0.2405 0.2405
Co2 0.7595 0.7595 0.7595
As1 0.5000 0.5000 0.5000
Au1 0.0000 0.0000 0.0000
# - spin magnetization (μB per formula unit) = 2.13
# - total DFT energy (no corrections) (eV per cell) = -21.43
# - symmetry = R-3m (166)

=====

4.
# ScHgAs, optimized geometry, DFT GGA-PBE
data_ScHgAs
_space_group_name_H-M_alt 'P 1'
_space_group_IT_number 1
_space_group_name_Hall 'P 1'
_cell_length_a 6.2913
_cell_length_b 6.0714
_cell_length_c 3.4635
_cell_angle_alpha 77.26
_cell_angle_beta 70.27
_cell_angle_gamma 32.48
loop_
_atom_site_label
_atom_site_fract_x
_atom_site_fract_y
_atom_site_fract_z
Sc1 0.0000 0.0000 0.0000
Hg1 0.3106 0.3106 0.6894
As1 0.6296 0.6296 0.3704
# - spin magnetization (μB per formula unit) = 0.00
# - total DFT energy (no corrections) (eV per cell) = -12.61
# - polymorph energy (0 for the lowest one) (meV per atom) = 145.5
# - symmetry = Fmm2 (42)

=====

5.
# ZrBiPb, optimized geometry, DFT GGA-PBE
data_ZrBiPb
_space_group_name_H-M_alt 'P 1'
_space_group_IT_number 1
_space_group_name_Hall 'P 1'
_cell_length_a 5.7947
_cell_length_b 5.7947
_cell_length_c 5.7947
_cell_angle_alpha 140.57
_cell_angle_beta 140.57
_cell_angle_gamma 56.98
loop_
_atom_site_label
_atom_site_fract_x
_atom_site_fract_y
_atom_site_fract_z
Zr1 0.0000 0.0000 0.0000
Bi1 0.6475 0.6475 0.0000
Pb1 0.3344 0.3344 0.0000
# - spin magnetization (μB per formula unit) = 0.00
# - total DFT energy (no corrections) (eV per cell) = -16.59
# - polymorph energy (0 for the lowest one) (meV per atom) = 27.5
# - symmetry = I4mm (107)

=====

6.
# Li2ZrBiAs, optimized geometry, DFT GGA-PBE
data_Li2ZrBiAs
_space_group_name_H-M_alt 'P 1'
_space_group_IT_number 1
_space_group_name_Hall 'P 1'
_cell_length_a 4.6440
_cell_length_b 4.6440
_cell_length_c 5.2489
_cell_angle_alpha 90.00
_cell_angle_beta 90.00
_cell_angle_gamma 90.00
loop_
_atom_site_label
_atom_site_fract_x
_atom_site_fract_y
_atom_site_fract_z
Li1 0.0000 0.5000 0.0000
Li2 0.5000 0.0000 0.0000
Zr1 0.0000 0.0000 0.5000
Bi1 0.5000 0.5000 0.5000
As1 0.0000 0.0000 0.0000
# - spin magnetization (μB per formula unit) = 0.00
# - total DFT energy (no corrections) (eV per cell) = -22.97
# - symmetry = P4/mmm (123)

=====

7.
# NpUAlGa, optimized geometry, DFT GGA-PBE
data_NpUAlGa
_space_group_name_H-M_alt 'P 1'
_space_group_IT_number 1
_space_group_name_Hall 'P 1'
_cell_length_a 5.4302
_cell_length_b 5.3882
_cell_length_c 5.3882
_cell_angle_alpha 30.28
_cell_angle_beta 90.00
_cell_angle_gamma 90.00
loop_
_atom_site_label
_atom_site_fract_x
_atom_site_fract_y
_atom_site_fract_z
Np1 0.0000 0.0000 0.0000
U1 0.0000 0.2511 0.2511
Al1 0.5000 0.3962 0.3962
Ga1 0.5000 0.1326 0.1326
# - spin magnetization (μB per formula unit) = 4.36
# - total DFT energy (no corrections) (eV per cell) = -30.48
# - symmetry = Amm2 (38)

=====

8.
# Zn3HSe, optimized geometry, DFT GGA-PBE
data_Zn3HSe
_space_group_name_H-M_alt 'P 1'
_space_group_IT_number 1
_space_group_name_Hall 'P 1'
_cell_length_a 5.1562
_cell_length_b 5.1562
_cell_length_c 5.1562
_cell_angle_alpha 90.00
_cell_angle_beta 90.00
_cell_angle_gamma 90.00
loop_
_atom_site_label
_atom_site_fract_x
_atom_site_fract_y
_atom_site_fract_z
Zn1 0.0000 0.0000 0.5000
Zn2 0.0000 0.5000 0.0000
Zn3 0.5000 0.0000 0.0000
H1 0.5000 0.5000 0.5000
Se1 0.0000 0.0000 0.0000
# - spin magnetization (μB per formula unit) = 0.00
# - total DFT energy (no corrections) (eV per cell) = -6.88
# - polymorph energy (0 for the lowest one) (meV per atom) = 482.1
# - symmetry = Pm-3m (221)

=====

9.
# Sm4RuSeCl2, optimized geometry, DFT GGA-PBE
data_Sm4RuSeCl2
_space_group_name_H-M_alt 'P 1'
_space_group_IT_number 1
_space_group_name_Hall 'P 1'
_cell_length_a 7.4048
_cell_length_b 4.0139
_cell_length_c 7.5111
_cell_angle_alpha 90.00
_cell_angle_beta 107.26
_cell_angle_gamma 90.00
loop_
_atom_site_label
_atom_site_fract_x
_atom_site_fract_y
_atom_site_fract_z
Sm1 0.2113 0.0000 0.2167
Sm2 0.2165 0.5000 0.7633
Sm3 0.7835 0.5000 0.2367
Sm4 0.7887 0.0000 0.7833
Ru1 0.0000 0.5000 0.0000
Se1 0.0000 0.0000 0.5000
Cl1 0.5000 0.0000 0.0000
Cl2 0.5000 0.5000 0.5000
# - spin magnetization (μB per formula unit) = 0.00
# - raw formation energy (eV per atom) = -1.228
# - total DFT energy (no corrections) (eV per cell) = -45.15
# - symmetry = P2/m (10)

=====

10.
# Pm6SiRu2Cl3, optimized geometry, DFT GGA-PBE
data_Pm6SiRu2Cl3
_space_group_name_H-M_alt 'P 1'
_space_group_IT_number 1
_space_group_name_Hall 'P 1'
_cell_length_a 7.1414
_cell_length_b 7.1414
_cell_length_c 7.7555
_cell_angle_alpha 98.83
_cell_angle_beta 98.83
_cell_angle_gamma 120.12
loop_
_atom_site_label
_atom_site_fract_x
_atom_site_fract_y
_atom_site_fract_z
Pm1 0.0816 0.4318 0.7915
Pm2 0.2197 0.2197 0.2095
Pm3 0.4318 0.0816 0.7915
Pm4 0.5682 0.9184 0.2085
Pm5 0.7803 0.7803 0.7905
Pm6 0.9184 0.5682 0.2085
Si1 0.5000 0.5000 0.0000
Ru1 0.1665 0.8335 0.0000
Ru2 0.8335 0.1665 0.0000
Cl1 0.0000 0.0000 0.5000
Cl2 0.3352 0.6648 0.5000
Cl3 0.6648 0.3352 0.5000
# - spin magnetization (μB per formula unit) = 0.00
# - raw formation energy (eV per atom) = -0.957
# - total DFT energy (no corrections) (eV per cell) = -69.50
# - symmetry = C2/m (12)

=====

11.
# NpSb4, optimized geometry, DFT GGA-PBE
data_NpSb4
_space_group_name_H-M_alt 'P 1'
_space_group_IT_number 1
_space_group_name_Hall 'P 1'
_cell_length_a 5.7141
_cell_length_b 5.7141
_cell_length_c 5.7141
_cell_angle_alpha 90.00
_cell_angle_beta 90.00
_cell_angle_gamma 90.00
loop_
_atom_site_label
_atom_site_fract_x
_atom_site_fract_y
_atom_site_fract_z
Np1 0.0000 0.0000 0.0000
Sb1 0.0000 0.0000 0.5000
Sb2 0.0000 0.5000 0.0000
Sb3 0.5000 0.0000 0.0000
Sb4 0.5000 0.5000 0.5000
# - spin magnetization (μB per formula unit) = 2.88
# - raw formation energy (eV per atom) = 0.777
# - total DFT energy (no corrections) (eV per cell) = -25.55
# - symmetry = Pm-3m (221)

=====

12.
# AgSb2Se, optimized geometry, DFT GGA-PBE
data_AgSb2Se
_space_group_name_H-M_alt 'P 1'
_space_group_IT_number 1
_space_group_name_Hall 'P 1'
_cell_length_a 7.0577
_cell_length_b 7.0577
_cell_length_c 4.3183
_cell_angle_alpha 92.70
_cell_angle_beta 92.70
_cell_angle_gamma 30.03
loop_
_atom_site_label
_atom_site_fract_x
_atom_site_fract_y
_atom_site_fract_z
Ag1 0.0000 0.0000 0.0000
Sb1 0.4469 0.4469 0.4897
Sb2 0.7654 0.7654 0.4364
Se1 0.1990 0.1990 0.9845
# - spin magnetization (μB per formula unit) = 0.00
# - raw formation energy (eV per atom) = 0.057
# - total DFT energy (no corrections) (eV per cell) = -14.35
# - symmetry = Cm (8)